[1]
The following is a DFT calculation (SCAN) of a PBEsol-optimized structure of Hg2SbTeW.

Uncorrected formation energy ... 1.5237 eV/atom
Calculated volume ... 32.80 Å³ per atom

Cell lengths 5.310, 5.310, 5.817 Å; angles 90.00, 90.00, 90.00 degrees
Space group P4/mmm (No. 123)
Inequivalent atoms, fractional coordinates:
Hg: 0.000 0.500 0.000 (multiplicity 2)
Sb: 0.000 0.000 0.000 (multiplicity 1)
Te: 0.000 0.000 0.500 (multiplicity 1)
W: 0.500 0.500 0.500 (multiplicity 1)

=====

[2]
The following is a DFT calculation (SCAN) of a PBEsol-optimized structure of HfSc3N.

Distance to the lowest polymorph of the same formula ... 2476 meV per atom
Uncorrected formation energy ... 1.8225 eV/atom
Calculated volume ... 24.66 Å³ per atom

Cell lengths 4.977, 4.977, 4.977 Å; angles 90.00, 90.00, 90.00 degrees
Space group Pm-3m (No. 221)
Inequivalent atoms, fractional coordinates:
Hf: 0.000 0.000 0.000 (multiplicity 1)
Sc: 0.000 0.000 0.500 (multiplicity 3)
N: 0.500 0.500 0.500 (multiplicity 1)

=====

[3]
The following is a DFT calculation (SCAN) of a PBEsol-optimized structure of K3TcB.

Calculated volume ... 47.92 Å³ per atom
Energy relative to the elements ... 2.040 eV/atom

Cell lengths 6.211, 6.211, 6.211 Å; angles 90.00, 90.00, 90.00 degrees
Space group Pm-3m (No. 221)
Inequivalent atoms, fractional coordinates:
K: 0.000 0.000 0.500 (multiplicity 3)
Tc: 0.000 0.000 0.000 (multiplicity 1)
B: 0.500 0.500 0.500 (multiplicity 1)

=====

[4]
The following is a DFT calculation (SCAN) of a PBEsol-optimized structure of Ti3MoPd.

Calculated volume ... 19.21 Å³ per atom
Energy relative to the elements ... 0.783 eV/atom

Cell lengths 4.580, 4.580, 4.580 Å; angles 90.00, 90.00, 90.00 degrees
Space group Pm-3m (No. 221)
Inequivalent atoms, fractional coordinates:
Ti: 0.000 0.000 0.500 (multiplicity 3)
Mo: 0.000 0.000 0.000 (multiplicity 1)
Pd: 0.500 0.500 0.500 (multiplicity 1)

=====

[5]
The following is a DFT calculation (SCAN) of a PBEsol-optimized structure of RbHf3Ru.

Calculated volume ... 26.10 Å³ per atom
Energy relative to the elements ... 0.553 eV/atom

Cell lengths 5.072, 5.072, 5.072 Å; angles 90.00, 90.00, 90.00 degrees
Space group Pm-3m (No. 221)
Inequivalent atoms, fractional coordinates:
Rb: 0.000 0.000 0.000 (multiplicity 1)
Hf: 0.000 0.500 0.500 (multiplicity 3)
Ru: 0.500 0.500 0.500 (multiplicity 1)

=====

[6]
The following is a DFT calculation (SCAN) of a PBEsol-optimized structure of Li2CrTe.

Uncorrected formation energy ... 0.0821 eV/atom
Calculated volume ... 14.12 Å³ per atom

Cell lengths 3.799, 3.799, 7.831 Å; angles 90.00, 90.00, 90.00 degrees
Space group I-4m2 (No. 119)
Inequivalent atoms, fractional coordinates:
Li: 0.000 0.000 0.000 (multiplicity 2)
Li: 0.000 0.500 0.250 (multiplicity 2)
Cr: 0.000 0.500 0.750 (multiplicity 2)
Te: 0.000 0.000 0.500 (multiplicity 2)

=====

[7]
The following is a DFT calculation (SCAN) of a PBEsol-optimized structure of Ba2CaZn.

Calculated volume ... 40.00 Å³ per atom
Energy relative to the elements ... -0.065 eV/atom

Cell lengths 4.026, 6.092, 13.048 Å; angles 90.00, 90.00, 90.00 degrees
Space group Imm2 (No. 44)
Inequivalent atoms, fractional coordinates:
Ba: 0.000 0.000 0.000 (multiplicity 2)
Ba: 0.000 0.500 0.190 (multiplicity 2)
Ca: 0.000 0.500 0.808 (multiplicity 2)
Zn: 0.000 0.000 0.487 (multiplicity 2)

=====

[8]
The following is a DFT calculation (SCAN) of a PBEsol-optimized structure of YTa2Cu.

Distance to the lowest polymorph of the same formula ... 0 meV per atom
Calculated volume ... 18.25 Å³ per atom
Energy relative to the elements ... 0.237 eV/atom

Cell lengths 2.925, 2.925, 8.533 Å; angles 90.00, 90.00, 90.00 degrees
Space group P4mm (No. 99)
Inequivalent atoms, fractional coordinates:
Y: 0.000 0.000 0.000 (multiplicity 1)
Ta: 0.000 0.000 0.453 (multiplicity 1)
Ta: 0.500 0.500 0.707 (multiplicity 1)
Cu: 0.500 0.500 0.250 (multiplicity 1)

=====

[9]
The following is a DFT calculation (SCAN) of a PBEsol-optimized structure of Ta2TlTeS.

Uncorrected formation energy ... 1.7237 eV/atom
Calculated volume ... 26.01 Å³ per atom

Cell lengths 5.095, 5.095, 5.011 Å; angles 90.00, 90.00, 90.00 degrees
Space group P4/mmm (No. 123)
Inequivalent atoms, fractional coordinates:
Ta: 0.000 0.500 0.000 (multiplicity 2)
Tl: 0.000 0.000 0.500 (multiplicity 1)
Te: 0.500 0.500 0.000 (multiplicity 1)
S: 0.500 0.500 0.500 (multiplicity 1)

=====

[10]
The following is a DFT calculation (SCAN) of a PBEsol-optimized structure of La2AlIn.

Calculated volume ... 27.51 Å³ per atom
Energy relative to the elements ... -0.511 eV/atom

Cell lengths 3.557, 4.352, 7.109 Å; angles 90.00, 90.00, 90.00 degrees
Space group Pmmm (No. 47)
Inequivalent atoms, fractional coordinates:
La: 0.000 0.000 0.237 (multiplicity 2)
Al: 0.500 0.500 0.000 (multiplicity 1)
In: 0.500 0.500 0.500 (multiplicity 1)

=====

[11]
The following is a DFT calculation (SCAN) of a PBEsol-optimized structure of SrMgCl2.

Distance to the lowest polymorph of the same formula ... 0 meV per atom
Uncorrected formation energy ... -1.6562 eV/atom
Calculated volume ... 37.42 Å³ per atom

Cell lengths 4.2597, 4.2597, 28.5753 Å; angles 90.00, 90.00, 120.00 degrees
Space group R-3m (No. 166, hexagonal axes)
Inequivalent atoms, fractional coordinates:
Sr: 0.0000 0.0000 0.0000 (multiplicity 3)
Mg: 0.0000 0.0000 0.5000 (multiplicity 3)
Cl: 0.0000 0.0000 0.2823 (multiplicity 6)

=====

[12]
The following is a DFT calculation (SCAN) of a PBEsol-optimized structure of CsTe2WN.

Uncorrected formation energy ... 2.7427 eV/atom
Calculated volume ... 29.56 Å³ per atom

Cell lengths 5.965, 5.965, 4.154 Å; angles 90.00, 90.00, 90.00 degrees
Space group P4/mmm (No. 123)
Inequivalent atoms, fractional coordinates:
Cs: 0.000 0.000 0.000 (multiplicity 1)
Te: 0.000 0.500 0.000 (multiplicity 2)
W: 0.500 0.500 0.500 (multiplicity 1)
N: 0.000 0.000 0.500 (multiplicity 1)

=====

[13]
The following is a DFT calculation (SCAN) of a PBEsol-optimized structure of TcP3.

Distance to the lowest polymorph of the same formula ... 0 meV per atom
Calculated volume ... 15.05 Å³ per atom
Energy relative to the elements ... -0.515 eV/atom

Cell lengths 15.293, 3.069, 5.131 Å; angles 90.00, 90.00, 90.00 degrees
Space group Pnma (No. 62)
Inequivalent atoms, fractional coordinates:
Tc: 0.151 0.250 0.149 (multiplicity 4)
P: 0.013 0.250 0.352 (multiplicity 4)
P: 0.119 0.750 0.819 (multiplicity 4)
P: 0.208 0.750 0.476 (multiplicity 4)

=====

[14]
The following is a DFT calculation (SCAN) of a PBEsol-optimized structure of LiTcPt2.

Calculated volume ... 13.80 Å³ per atom
Energy relative to the elements ... -0.326 eV/atom

Cell lengths 3.841, 3.841, 7.480 Å; angles 90.00, 90.00, 90.00 degrees
Space group I4/mmm (No. 139)
Inequivalent atoms, fractional coordinates:
Li: 0.000 0.000 0.000 (multiplicity 2)
Tc: 0.000 0.000 0.500 (multiplicity 2)
Pt: 0.000 0.500 0.250 (multiplicity 4)

=====

[15]
The following is a DFT calculation (SCAN) of a PBEsol-optimized structure of TiFe2TcHg.

Calculated volume ... 20.62 Å³ per atom
Energy relative to the elements ... 1.688 eV/atom

Cell lengths 4.599, 4.599, 4.874 Å; angles 90.00, 90.00, 90.00 degrees
Space group P4/mmm (No. 123)
Inequivalent atoms, fractional coordinates:
Ti: 0.000 0.000 0.000 (multiplicity 1)
Fe: 0.000 0.500 0.500 (multiplicity 2)
Tc: 0.500 0.500 0.000 (multiplicity 1)
Hg: 0.000 0.000 0.500 (multiplicity 1)

=====

[16]
The following is a DFT calculation (SCAN) of a PBEsol-optimized structure of AlP2SeCl.

Uncorrected formation energy ... 0.8866 eV/atom
Calculated volume ... 21.89 Å³ per atom

Cell lengths 4.768, 4.768, 4.815 Å; angles 90.00, 90.00, 90.00 degrees
Space group P4/mmm (No. 123)
Inequivalent atoms, fractional coordinates:
Al: 0.000 0.000 0.000 (multiplicity 1)
P: 0.000 0.500 0.500 (multiplicity 2)
Se: 0.500 0.500 0.500 (multiplicity 1)
Cl: 0.500 0.500 0.000 (multiplicity 1)

=====

[17]
The following is a DFT calculation (SCAN) of a PBEsol-optimized structure of AuC2S.

Uncorrected formation energy ... 1.5328 eV/atom
Calculated volume ... 11.25 Å³ per atom

Cell lengths 4.764, 4.764, 7.936 Å; angles 90.00, 90.00, 90.00 degrees
Space group I-42d (No. 122)
Inequivalent atoms, fractional coordinates:
Au: 0.000 0.000 0.000 (multiplicity 4)
C: 0.174 0.750 0.625 (multiplicity 8)
S: 0.000 0.000 0.500 (multiplicity 4)

=====

[18]
The following is a DFT calculation (SCAN) of a PBEsol-optimized structure of GaB2O2.

Uncorrected formation energy ... -1.2408 eV/atom
Calculated volume ... 19.77 Å³ per atom

Cell lengths 9.155, 9.155, 2.358 Å; angles 90.00, 90.00, 90.00 degrees
Space group P4/mbm (No. 127)
Inequivalent atoms, fractional coordinates:
Ga: 0.000 0.000 0.000 (multiplicity 2)
B: 0.067 0.433 0.000 (multiplicity 4)
O: 0.123 0.377 0.500 (multiplicity 4)

=====

[19]
The following is a DFT calculation (SCAN) of a PBEsol-optimized structure of ZrSI2.

Uncorrected formation energy ... -0.9231 eV/atom
Calculated volume ... 33.88 Å³ per atom

Cell lengths 10.594, 10.594, 4.830 Å; angles 90.00, 90.00, 90.00 degrees
Space group I-42d (No. 122)
Inequivalent atoms, fractional coordinates:
Zr: 0.000 0.000 0.000 (multiplicity 4)
S: 0.000 0.000 0.500 (multiplicity 4)
I: 0.104 0.750 0.125 (multiplicity 8)

=====

[20]
The following is a DFT calculation (SCAN) of a PBEsol-optimized structure of YAlNi.

Calculated volume ... 17.56 Å³ per atom
Energy relative to the elements ... -0.639 eV/atom

Cell lengths 6.8766, 6.8766, 3.8589 Å; angles 90.00, 90.00, 120.00 degrees
Space group P-62m (No. 189)
Inequivalent atoms, fractional coordinates:
Y: 0.0000 0.4171 0.0000 (multiplicity 3)
Al: 0.0000 0.7646 0.5000 (multiplicity 3)
Ni: 0.0000 0.0000 0.0000 (multiplicity 1)
Ni: 0.3333 0.6667 0.5000 (multiplicity 2)

=====

[21]
The following is a DFT calculation (SCAN) of a PBEsol-optimized structure of IrOsAu2.

Distance to the lowest polymorph of the same formula ... 0 meV per atom
Calculated volume ... 15.53 Å³ per atom
Energy relative to the elements ... 0.363 eV/atom

Cell lengths 2.785, 3.843, 5.803 Å; angles 90.00, 90.00, 90.00 degrees
Space group Pmm2 (No. 25)
Inequivalent atoms, fractional coordinates:
Ir: 0.000 0.000 0.000 (multiplicity 1)
Os: 0.500 0.500 0.811 (multiplicity 1)
Au: 0.000 0.000 0.533 (multiplicity 1)
Au: 0.500 0.500 0.280 (multiplicity 1)

=====

[22]
The following is a DFT calculation (SCAN) of a PBEsol-optimized structure of Co2MoP.

Calculated volume ... 11.67 Å³ per atom
Energy relative to the elements ... 0.126 eV/atom

Cell lengths 2.6472, 2.6472, 23.0797 Å; angles 90.00, 90.00, 120.00 degrees
Space group R-3m (No. 166, hexagonal axes)
Inequivalent atoms, fractional coordinates:
Co: 0.0000 0.0000 0.2393 (multiplicity 6)
Mo: 0.0000 0.0000 0.0000 (multiplicity 3)
P: 0.0000 0.0000 0.5000 (multiplicity 3)

=====

[23]
The following is a DFT calculation (SCAN) of a PBEsol-optimized structure of BaBeRu.

Calculated volume ... 20.97 Å³ per atom
Energy relative to the elements ... 1.097 eV/atom

Cell lengths 6.314, 6.314, 6.314 Å; angles 90.00, 90.00, 90.00 degrees
Space group F-43m (No. 216)
Inequivalent atoms, fractional coordinates:
Ba: 0.000 0.000 0.000 (multiplicity 4)
Be: 0.250 0.250 0.250 (multiplicity 4)
Ru: 0.000 0.000 0.500 (multiplicity 4)

=====

[24]
The following is a DFT calculation (SCAN) of a PBEsol-optimized structure of RbCr2FeB.

Calculated volume ... 21.96 Å³ per atom
Energy relative to the elements ... 1.923 eV/atom

Cell lengths 4.394, 4.394, 5.686 Å; angles 90.00, 90.00, 90.00 degrees
Space group P4/mmm (No. 123)
Inequivalent atoms, fractional coordinates:
Rb: 0.000 0.000 0.000 (multiplicity 1)
Cr: 0.000 0.500 0.500 (multiplicity 2)
Fe: 0.000 0.000 0.500 (multiplicity 1)
B: 0.500 0.500 0.000 (multiplicity 1)

=====

[25]
The following is a DFT calculation (SCAN) of a PBEsol-optimized structure of ScTi2InC.

Distance to the lowest polymorph of the same formula ... 0 meV per atom
Calculated volume ... 15.87 Å³ per atom
Energy relative to the elements ... -0.689 eV/atom

Cell lengths 4.233, 4.233, 4.428 Å; angles 90.00, 90.00, 90.00 degrees
Space group P4/mmm (No. 123)
Inequivalent atoms, fractional coordinates:
Sc: 0.000 0.000 0.000 (multiplicity 1)
Ti: 0.000 0.500 0.500 (multiplicity 2)
In: 0.500 0.500 0.000 (multiplicity 1)
C: 0.000 0.000 0.500 (multiplicity 1)

=====

[26]
The following is a DFT calculation (SCAN) of a PBEsol-optimized structure of RhSeBr2.

Distance to the lowest polymorph of the same formula ... 0 meV per atom
Uncorrected formation energy ... -0.2313 eV/atom
Calculated volume ... 21.63 Å³ per atom

Cell lengths 3.570, 5.281, 9.177 Å; angles 90.00, 90.00, 90.00 degrees
Space group Amm2 (No. 38)
Inequivalent atoms, fractional coordinates:
Rh: 0.000 0.000 0.000 (multiplicity 2)
Se: 0.500 0.000 0.833 (multiplicity 2)
Br: 0.000 0.000 0.523 (multiplicity 2)
Br: 0.500 0.000 0.203 (multiplicity 2)

=====

[27]
The following is a DFT calculation (SCAN) of a PBEsol-optimized structure of Zn2RuRh.

Calculated volume ... 13.14 Å³ per atom
Energy relative to the elements ... -0.112 eV/atom

Cell lengths 4.262, 4.262, 2.893 Å; angles 90.00, 90.00, 90.00 degrees
Space group P4/mmm (No. 123)
Inequivalent atoms, fractional coordinates:
Zn: 0.000 0.500 0.000 (multiplicity 2)
Ru: 0.000 0.000 0.500 (multiplicity 1)
Rh: 0.500 0.500 0.500 (multiplicity 1)

=====

[28]
The following is a DFT calculation (SCAN) of a PBEsol-optimized structure of Sr2ZrTe.

Uncorrected formation energy ... -0.3080 eV/atom
Calculated volume ... 32.82 Å³ per atom

Cell lengths 4.906, 4.188, 12.783 Å; angles 90.00, 90.00, 90.00 degrees
Space group Amm2 (No. 38)
Inequivalent atoms, fractional coordinates:
Sr: 0.000 0.000 0.000 (multiplicity 2)
Sr: 0.500 0.000 0.308 (multiplicity 2)
Zr: 0.500 0.000 0.595 (multiplicity 2)
Te: 0.000 0.000 0.717 (multiplicity 2)